{
  "formula": "Nd2YTh2",
  "functional": "GGA-PBE",
  "state": "optimized geometry",
  "sg": "Imma, No. 74",
  "formation_enthalpy_0k_ev_per_atom": 0.14,
  "total_magnetization_mub_per_fu": 0.0,
  "energy_ev_per_atom": -6.023,
  "mass_density_g_cm3": 8.2,
  "relative_energy_ev_per_fu": 0.554,
  "lattice": [[5.793, 0.000, 0.000], [0.000, 3.568, 0.000], [-2.897, -1.784, 16.423]],
  "species": ["Nd", "Nd", "Nd", "Nd", "Y", "Y", "Th", "Th", "Th", "Th"],
  "frac_coords": [[0.728, 0.978, 0.455], [0.272, 0.022, 0.545], [0.370, 0.120, 0.739], [0.630, 0.880, 0.261], [0.828, 0.578, 0.657], [0.172, 0.422, 0.343], [0.541, 0.291, 0.083], [0.943, 0.193, 0.886], [0.459, 0.709, 0.917], [0.057, 0.807, 0.114]]
}